No. 1
ReNi2Sb, relaxed, DFT PBE; final energy = -27.15 eV/cell
1.0
3.9183 0.0000 0.0000
0.0000 3.8971 0.3270
0.0000 3.5879 4.0123
Ni Re Sb
2 1 1
Cartesian
0.0000 0.0000 0.0000
1.9592 1.9486 0.1635
1.9592 3.7425 2.1696
0.0000 1.7940 2.0061

=====

No. 2
Re2NiSb, relaxed, DFT PBE; final energy = -32.60 eV/cell
1.0
-4.0557 3.1273 -1.2182
-4.1301 -2.1348 -2.4696
3.0219 -0.1775 4.3070
Ni Re Sb
1 2 1
Cartesian
-2.6005 -0.9080 -0.0032
-8.1100 0.9834 -3.6536
-4.1687 0.5055 -1.8780
-2.5634 1.7231 0.6224

=====

No. 3
ReNi2Sb, relaxed, DFT PBE; final energy = -27.12 eV/cell
1.0
4.4962 -0.0036 0.0028
3.5522 2.7564 0.0028
0.8722 0.2983 4.6754
Ni Re Sb
2 1 1
Cartesian
0.8862 0.3031 4.5737
6.7026 2.2925 3.5460
4.4400 1.5186 2.5124
2.2245 0.7608 1.0650

=====

No. 4
ReNiSb2, relaxed, DFT PBE; final energy = -24.86 eV/cell; energy relative to the lowest polymorph listed for this composition = 0.1833 eV per atom
1.0
6.5886 0.0193 0.0032
4.5940 4.7229 -0.0032
-5.3268 -2.9949 2.4630
Ni Re Sb
1 1 2
Cartesian
5.6430 2.3930 0.0000
3.2004 2.3765 1.2299
10.8162 4.5868 0.0000
2.9702 -0.4958 1.2331